Record 1
A relaxed Nb2Cu2SiGe crystal, computed with PBE-GGA.

For the total magnetization, the calculation gives 0.00 μB per formula unit. For the final energy, the calculation gives -40.0 eV for the cell shown. The value obtained for the volume is 14.6 A^3/atom.

The structure belongs to space group P4mm (No. 99); the cell edges are 3.600, 3.600 and 6.737 Å and the angles 90.00°, 90.00° and 90.00°. The distinct sites, in fractional coordinates, are Nb at (0.000, 0.000, 0.000), Nb at (0.500, 0.500, 0.271), Cu at (0.000, 0.500, 0.648), Si at (0.500, 0.500, 0.884) and Ge at (0.000, 0.000, 0.396).

Record 2
A relaxed NbCuSiGe crystal, computed with PBE-GGA.

For the total magnetization, the calculation gives 0.00 μB per formula unit. For the final energy, the calculation gives -50.6 eV for the cell shown. The value obtained for the volume is 14.9 A^3/atom.

The structure belongs to space group P4/nmm (No. 129, origin choice 2); the cell edges are 3.642, 3.642 and 8.963 Å and the angles 90.00°, 90.00° and 90.00°. The distinct sites, in fractional coordinates, are Nb at (0.250, 0.250, 0.220), Cu at (0.250, 0.750, 0.500), Si at (0.250, 0.750, 0.000) and Ge at (0.250, 0.250, 0.690).

Record 3
A relaxed NbCuSiGe crystal, computed with PBE-GGA.

For the total magnetization, the calculation gives 0.00 μB per formula unit. For the final energy, the calculation gives -50.4 eV for the cell shown. The value obtained for the volume is 14.8 A^3/atom.

The structure belongs to space group P4/nmm (No. 129, origin choice 2); the cell edges are 3.658, 3.658 and 8.876 Å and the angles 90.00°, 90.00° and 90.00°. The distinct sites, in fractional coordinates, are Nb at (0.250, 0.250, 0.233), Cu at (0.250, 0.750, 0.500), Si at (0.250, 0.250, 0.679) and Ge at (0.250, 0.750, 0.000).

Record 4
A relaxed NbCuTcGe crystal, computed with PBE-GGA.

For the total magnetization, the calculation gives 0.00 μB per formula unit. For the final energy, the calculation gives -115.1 eV for the cell shown. The value obtained for the volume is 14.9 A^3/atom.

The structure belongs to space group F-43m (No. 216); the cell edges are 6.203, 6.203 and 6.203 Å and the angles 90.00°, 90.00° and 90.00°. The distinct sites, in fractional coordinates, are Nb at (0.000, 0.000, 0.000), Cu at (0.250, 0.250, 0.750), Tc at (0.250, 0.250, 0.250) and Ge at (0.000, 0.000, 0.500).

Record 5
A relaxed NbCuGeW crystal, computed with PBE-GGA.

For the total magnetization, the calculation gives 0.01 μB per formula unit. For the final energy, the calculation gives -120.4 eV for the cell shown. The value obtained for the volume is 15.6 A^3/atom.

The structure belongs to space group F-43m (No. 216); the cell edges are 6.299, 6.299 and 6.299 Å and the angles 90.00°, 90.00° and 90.00°. The distinct sites, in fractional coordinates, are Nb at (0.000, 0.000, 0.000), Cu at (0.250, 0.250, 0.750), Ge at (0.000, 0.000, 0.500) and W at (0.250, 0.250, 0.250).

Record 6
A relaxed NbZnCuGe crystal, computed with PBE-GGA.

For the total magnetization, the calculation gives 1.65 μB per formula unit. For the final energy, the calculation gives -72.7 eV for the cell shown. The value obtained for the volume is 15.8 A^3/atom.

The structure belongs to space group F-43m (No. 216); the cell edges are 6.317, 6.317 and 6.317 Å and the angles 90.00°, 90.00° and 90.00°. The distinct sites, in fractional coordinates, are Nb at (0.000, 0.000, 0.000), Zn at (0.250, 0.250, 0.250), Cu at (0.250, 0.250, 0.750) and Ge at (0.000, 0.000, 0.500).

Record 7
A relaxed NbZnCuGe crystal, computed with PBE-GGA.

For the total magnetization, the calculation gives 0.78 μB per formula unit. For the final energy, the calculation gives -76.1 eV for the cell shown. The value obtained for the volume is 15.4 A^3/atom.

The structure belongs to space group F-43m (No. 216); the cell edges are 6.264, 6.264 and 6.264 Å and the angles 90.00°, 90.00° and 90.00°. The distinct sites, in fractional coordinates, are Nb at (0.000, 0.000, 0.000), Zn at (0.250, 0.250, 0.750), Cu at (0.000, 0.000, 0.500) and Ge at (0.250, 0.250, 0.250).

Record 8
A relaxed ZrNbCuGe crystal, computed with PBE-GGA.

For the total magnetization, the calculation gives 0.06 μB per formula unit. For the final energy, the calculation gives -104.4 eV for the cell shown. The value obtained for the volume is 17.1 A^3/atom.

The structure belongs to space group F-43m (No. 216); the cell edges are 6.498, 6.498 and 6.498 Å and the angles 90.00°, 90.00° and 90.00°. The distinct sites, in fractional coordinates, are Zr at (0.000, 0.000, 0.000), Nb at (0.250, 0.250, 0.250), Cu at (0.250, 0.250, 0.750) and Ge at (0.000, 0.000, 0.500).